VASP calculation (PBE) on crystalline Sn2BW at its relaxed geometry.

Structure (POSCAR):
```
Sn2BW
1.0
8.709 0.000 0.000
0.000 8.709 0.000
0.000 0.000 4.337
Sn B W
8 4 4
Direct
0.107 0.250 0.125
0.250 0.607 0.375
0.250 0.893 0.875
0.393 0.250 0.625
0.607 0.750 0.625
0.750 0.107 0.875
0.750 0.393 0.375
0.893 0.750 0.125
0.000 0.000 0.000
0.000 0.500 0.250
0.500 0.000 0.750
0.500 0.500 0.500
0.000 0.000 0.500
0.000 0.500 0.750
0.500 0.000 0.250
0.500 0.500 0.000
```

Output
Calculated total energy   -5.93 eV/atom
Energy of formation   0.98 eV/atom
Density of states at the Fermi level   14.17 states/eV/cell
Calculated volume   82 Å³/f.u.